(1)
Here is NdYRe after structural relaxation from Alexandria. Energies are from PBE.

Values from the calculation:
- DFT total energy: -46.73 eV/cell
- Symmetry: No. 129
- Density: 9.0 Mg/m³
- Crystal system: tetragonal

Geometry as POSCAR:
```
NdYRe
1.0
3.236 0.000 0.000
0.000 3.236 0.000
0.000 0.000 14.718
Nd Y Re
2 2 2
Cartesian
0.809 0.809 1.414
2.427 2.427 13.303
0.809 0.809 10.111
2.427 2.427 4.607
0.809 0.809 6.688
2.427 2.427 8.030
```

=====

(2)
Here is NdYRe4 after structural relaxation from Alexandria. Energies are from PBE.

Values from the calculation:
- DFT total energy: -61.33 eV/cell
- Symmetry: No. 216
- Density: 14.0 Mg/m³
- Crystal system: cubic

Geometry as POSCAR:
```
NdYRe4
1.0
0.000 3.867 3.867
3.867 0.000 3.867
3.867 3.867 0.000
Nd Y Re
1 1 4
Cartesian
0.000 0.000 0.000
5.800 5.800 5.800
2.900 2.900 2.900
4.833 4.833 2.900
4.833 2.900 4.833
2.900 4.833 4.833
```

=====

(3)
Here is Nd3Rh after structural relaxation from Alexandria. Energies are from PBE.

Values from the calculation:
- DFT total energy: -22.19 eV/cell
- Symmetry: No. 25
- Density: 7.1 Mg/m³
- Crystal system: orthorhombic

Geometry as POSCAR:
```
Nd3Rh
1.0
3.571 0.000 0.000
0.000 3.731 0.000
0.000 0.000 9.430
Nd Rh
3 1
Cartesian
0.000 0.000 0.000
0.000 1.865 3.216
1.785 1.865 6.716
1.785 0.000 4.578
```

=====

(4)
Here is NdRh3 after structural relaxation from Alexandria. Energies are from PBE.

Values from the calculation:
- DFT total energy: -27.78 eV/cell
- Symmetry: No. 139
- Density: 10.7 Mg/m³
- Crystal system: tetragonal

Geometry as POSCAR:
```
NdRh3
1.0
-2.081 2.081 4.058
2.081 -2.081 4.058
2.081 2.081 -4.058
Nd Rh
1 3
Cartesian
0.000 0.000 0.000
2.081 0.000 2.029
0.000 0.000 4.058
0.000 2.081 2.029
```

=====

(5)
Here is NdRh4 after structural relaxation from Alexandria. Energies are from PBE.

Values from the calculation:
- DFT total energy: -25.99 eV/cell
- Symmetry: No. 221
- Density: 7.8 Mg/m³
- Crystal system: cubic

Geometry as POSCAR:
```
NdRh4
1.0
4.899 0.000 0.000
0.000 4.899 0.000
0.000 0.000 4.899
Nd Rh
1 4
Cartesian
0.000 0.000 0.000
0.000 0.000 2.450
0.000 2.450 0.000
2.450 0.000 0.000
2.450 2.450 2.450
```

=====

(6)
Here is Nd3Rh after structural relaxation from Alexandria. Energies are from PBE.

Values from the calculation:
- DFT total energy: -92.49 eV/cell
- Symmetry: No. 82
- Density: 7.8 Mg/m³
- Crystal system: tetragonal

Geometry as POSCAR:
```
Nd3Rh
1.0
-6.047 6.047 3.132
6.047 -6.047 3.132
6.047 6.047 -3.132
Nd Rh
12 4
Cartesian
7.176 1.126 0.006
6.049 4.329 -1.566
3.600 -2.445 2.761
3.602 2.447 0.370
-0.002 1.718 1.566
1.126 4.918 -0.006
4.921 1.129 3.126
2.447 8.492 -0.370
4.329 6.045 1.566
1.718 0.002 4.697
2.445 3.600 3.502
-1.129 4.921 3.138
3.669 6.044 -1.565
2.378 0.003 1.566
6.050 3.669 1.565
-0.003 2.378 4.697
```

=====

(7)
Here is Nd3Rh after structural relaxation from Alexandria. Energies are from PBE.

Values from the calculation:
- DFT total energy: -22.95 eV/cell
- Symmetry: No. 44
- Density: 7.6 Mg/m³
- Crystal system: orthorhombic

Geometry as POSCAR:
```
Nd3Rh
1.0
-1.882 5.466 2.831
1.882 -5.466 2.831
1.882 5.466 -2.831
Nd Rh
3 1
Cartesian
0.000 0.000 0.000
1.882 3.312 -0.008
0.000 2.154 2.823
1.882 0.000 2.575
```

=====

(8)
Here is NdRh3 after structural relaxation from Alexandria. Energies are from PBE.

Values from the calculation:
- DFT total energy: -26.83 eV/cell
- Symmetry: No. 191
- Density: 10.2 Mg/m³
- Crystal system: hexagonal

Geometry as POSCAR:
```
NdRh3
1.0
5.327 0.000 0.000
-2.664 4.614 0.000
0.000 0.000 2.998
Nd Rh
1 3
Cartesian
0.000 0.000 0.000
-1.332 2.307 1.499
2.664 0.000 1.499
1.332 2.307 1.499
```

=====

(9)
Here is NdRh3 after structural relaxation from Alexandria. Energies are from PBE.

Values from the calculation:
- DFT total energy: -56.47 eV/cell
- Symmetry: No. 51
- Density: 10.2 Mg/m³
- Crystal system: orthorhombic

Geometry as POSCAR:
```
NdRh3
1.0
5.331 0.000 0.000
0.000 4.295 0.000
0.000 0.000 6.471
Nd Rh
2 6
Cartesian
1.333 0.000 1.228
3.999 0.000 5.244
0.000 2.148 3.236
1.333 0.000 4.157
1.333 2.148 5.636
2.666 2.148 3.236
3.999 0.000 2.314
3.999 2.148 0.835
```

=====

(10)
Here is NdRh3 after structural relaxation from Alexandria. Energies are from PBE.

Values from the calculation:
- DFT total energy: -56.21 eV/cell
- Symmetry: No. 194
- Density: 10.6 Mg/m³
- Crystal system: hexagonal

Geometry as POSCAR:
```
NdRh3
1.0
5.971 0.000 0.000
-2.986 5.171 0.000
0.000 0.000 4.615
Nd Rh
2 6
Cartesian
0.000 3.448 1.154
2.986 1.724 3.461
0.000 1.576 3.461
-1.621 4.384 3.461
1.364 0.788 1.154
1.621 4.384 3.461
4.607 0.788 1.154
2.986 3.596 1.154
```

=====

(11)
Here is Nd2Rh17 after structural relaxation from Alexandria. Energies are from PBE.

Values from the calculation:
- DFT total energy: -137.00 eV/cell
- Symmetry: No. 166
- Density: 10.9 Mg/m³
- Crystal system: trigonal

Geometry as POSCAR:
```
Nd2Rh17
1.0
4.516 2.607 4.382
-4.516 2.607 4.382
0.000 -5.215 4.382
Nd Rh
2 17
Cartesian
0.000 0.000 2.116
0.000 0.000 11.029
-2.258 -1.304 4.382
0.000 -2.618 4.179
-2.267 1.309 4.179
-1.334 -2.311 6.573
-2.668 0.000 6.573
-2.267 -1.309 8.967
0.000 0.000 5.252
-2.258 1.304 8.763
1.334 -2.311 6.573
0.000 2.607 4.382
-1.334 2.311 6.573
0.000 0.000 7.893
2.267 1.309 4.179
2.668 0.000 6.573
1.334 2.311 6.573
2.267 -1.309 8.967
0.000 2.618 8.967
```

=====

(12)
Here is Nd5Rh4 after structural relaxation from Alexandria. Energies are from PBE.

Values from the calculation:
- DFT total energy: -58.88 eV/cell
- Symmetry: No. 12
- Density: 8.3 Mg/m³
- Crystal system: monoclinic

Geometry as POSCAR:
```
Nd5Rh4
1.0
5.538 -1.987 0.000
5.538 1.987 0.000
-3.268 0.000 10.285
Nd Rh
5 4
Cartesian
0.000 0.000 0.000
-0.071 0.000 4.094
-0.146 0.000 8.242
7.954 0.000 2.044
7.879 0.000 6.191
2.959 0.000 4.041
4.881 0.000 1.935
2.927 0.000 8.351
4.849 0.000 6.245
```

=====

DFT formation energy, record by record: 0.105; -0.051; -0.134; -0.239; 1.637; -0.367; -0.324; -0.003; -0.354; -0.321; -0.131; -0.626 eV per atom